i) # PBEsol La4Au, relaxed
data_La4Au
_cell_length_a 3.7309
_cell_length_b 3.7309
_cell_length_c 39.6100
_cell_angle_alpha 90.00
_cell_angle_beta 90.00
_cell_angle_gamma 120.00
_symmetry_space_group_name_H-M 'R -3 m'
_symmetry_Int_Tables_number 166
_symmetry_space_group_name_Hall '-R 3 2"'
loop_
_atom_site_label
_atom_site_type_symbol
_atom_site_fract_x
_atom_site_fract_y
_atom_site_fract_z
La1 La 0.0000 0.0000 0.1119
La2 La 0.0000 0.0000 0.2955
Au1 Au 0.0000 0.0000 0.5000
# calculated density	7.85	g/cm3



ii) # PBEsol La4Au, relaxed
data_La4Au
_cell_length_a 3.740
_cell_length_b 3.740
_cell_length_c 21.626
_cell_angle_alpha 90.00
_cell_angle_beta 90.00
_cell_angle_gamma 90.00
_symmetry_space_group_name_H-M 'I 4/m m m'
_symmetry_Int_Tables_number 139
_symmetry_space_group_name_Hall '-I 4 2'
loop_
_atom_site_label
_atom_site_type_symbol
_atom_site_fract_x
_atom_site_fract_y
_atom_site_fract_z
La1 La 0.000 0.000 0.082
La2 La 0.000 0.000 0.306
Au1 Au 0.000 0.000 0.500
# calculated density	8.26	g/cm3



Which structure is most stable? ii), by 9.6 kJ/mol of atoms over the runner-up.



i) # PBEsol La5Au3, relaxed
data_La5Au3
_cell_length_a 11.800
_cell_length_b 11.800
_cell_length_c 6.327
_cell_angle_alpha 90.00
_cell_angle_beta 90.00
_cell_angle_gamma 90.00
_symmetry_space_group_name_H-M 'I 4/m c m'
_symmetry_Int_Tables_number 140
_symmetry_space_group_name_Hall '-I 4 2c'
loop_
_atom_site_label
_atom_site_type_symbol
_atom_site_fract_x
_atom_site_fract_y
_atom_site_fract_z
La1 La 0.000 0.500 0.250
La2 La 0.086 0.215 0.000
Au1 Au 0.000 0.000 0.250
Au2 Au 0.160 0.340 0.500
# calculated density	9.69	g/cm3



ii) # PBEsol La5Au3, relaxed
data_La5Au3
_cell_length_a 8.7775
_cell_length_b 8.7775
_cell_length_c 6.8364
_cell_angle_alpha 90.00
_cell_angle_beta 90.00
_cell_angle_gamma 120.00
_symmetry_space_group_name_H-M 'P 63/m c m'
_symmetry_Int_Tables_number 193
_symmetry_space_group_name_Hall '-P 6c 2'
loop_
_atom_site_label
_atom_site_type_symbol
_atom_site_fract_x
_atom_site_fract_y
_atom_site_fract_z
La1 La 0.0000 0.2431 0.2500
La2 La 0.3333 0.6667 0.0000
Au1 Au 0.0000 0.3965 0.7500
# calculated density	9.36	g/cm3



Which structure is most stable? ii), by 1.6 kJ/mol of atoms over the runner-up.



i) # PBEsol La2Au3, relaxed
data_La2Au3
_cell_length_a 4.7064
_cell_length_b 4.7064
_cell_length_c 19.7504
_cell_angle_alpha 90.00
_cell_angle_beta 90.00
_cell_angle_gamma 120.00
_symmetry_space_group_name_H-M 'R -3 m'
_symmetry_Int_Tables_number 166
_symmetry_space_group_name_Hall '-R 3 2"'
loop_
_atom_site_label
_atom_site_type_symbol
_atom_site_fract_x
_atom_site_fract_y
_atom_site_fract_z
La1 La 0.0000 0.0000 0.0869
Au1 Au 0.0000 0.0000 0.3350
Au2 Au 0.0000 0.0000 0.5000
# calculated density	11.42	g/cm3



ii) # PBEsol La2Au3, relaxed
data_La2Au3
_cell_length_a 3.784
_cell_length_b 3.784
_cell_length_c 16.007
_cell_angle_alpha 90.00
_cell_angle_beta 90.00
_cell_angle_gamma 90.00
_symmetry_space_group_name_H-M 'I 4/m m m'
_symmetry_Int_Tables_number 139
_symmetry_space_group_name_Hall '-I 4 2'
loop_
_atom_site_label
_atom_site_type_symbol
_atom_site_fract_x
_atom_site_fract_y
_atom_site_fract_z
La1 La 0.000 0.000 0.184
Au1 Au 0.000 0.000 0.000
Au2 Au 0.000 0.000 0.412
# calculated density	12.59	g/cm3



Which structure is most stable? i), by 30.6 kJ/mol of atoms over the runner-up.